Record 1
Below is crystalline GeSe2F at its relaxed geometry, with properties calculated at the GGA-PBE level.

## Properties
polymorph energy (0 for the lowest one): 588.1 meV per atom
size of the total moment: 0.0 μB per formula unit
crystal system: trigonal
electronic total energy: -13.6 eV/f.u.
formation energy (no corrections): -45 meV/atom

a = 2.9249 Å, b = 2.9249 Å, c = 27.6358 Å
α = 90.00°, β = 90.00°, γ = 120.00°
Fractional coordinates of all 12 atoms:
1 Ge 0.0000 0.0000 0.0000
2 Ge 0.3333 0.6667 0.6667
3 Ge 0.6667 0.3333 0.3333
4 Se 0.0000 0.0000 0.0937
5 Se 0.0000 0.0000 0.9063
6 Se 0.3333 0.6667 0.5729
7 Se 0.3333 0.6667 0.7604
8 Se 0.6667 0.3333 0.2396
9 Se 0.6667 0.3333 0.4271
10 F 0.0000 0.0000 0.5000
11 F 0.3333 0.6667 0.1667
12 F 0.6667 0.3333 0.8333

Record 2
Below is crystalline Ge2SeF at its relaxed geometry, with properties calculated at the GGA-PBE level.

## Properties
polymorph energy (0 for the lowest one): 0.0 meV per atom
size of the total moment: 0.0 μB per formula unit
crystal system: tetragonal
electronic total energy: -16.6 eV/f.u.
formation energy (no corrections): -510 meV/atom

a = 7.0051 Å, b = 7.0051 Å, c = 6.2314 Å
α = 90.00°, β = 90.00°, γ = 90.00°
Fractional coordinates of all 16 atoms:
1 Ge 0.2293 0.2500 0.1250
2 Ge 0.2500 0.7293 0.3750
3 Ge 0.2500 0.7707 0.8750
4 Ge 0.2707 0.2500 0.6250
5 Ge 0.7293 0.7500 0.6250
6 Ge 0.7500 0.2293 0.8750
7 Ge 0.7500 0.2707 0.3750
8 Ge 0.7707 0.7500 0.1250
9 Se 0.0000 0.0000 0.5000
10 Se 0.0000 0.5000 0.7500
11 Se 0.5000 0.0000 0.2500
12 Se 0.5000 0.5000 0.0000
13 F 0.0000 0.0000 0.0000
14 F 0.0000 0.5000 0.2500
15 F 0.5000 0.0000 0.7500
16 F 0.5000 0.5000 0.5000

Record 3
Below is crystalline Ge3SeF at its relaxed geometry, with properties calculated at the GGA-PBE level.

## Properties
polymorph energy (0 for the lowest one): 0.0 meV per atom
size of the total moment: 0.0 μB per formula unit
crystal system: cubic
electronic total energy: -18.6 eV/f.u.
formation energy (no corrections): 112 meV/atom

a = 4.6934 Å, b = 4.6934 Å, c = 4.6934 Å
α = 90.00°, β = 90.00°, γ = 90.00°
Fractional coordinates of all 5 atoms:
1 Ge 0.0000 0.0000 0.5000
2 Ge 0.0000 0.5000 0.0000
3 Ge 0.5000 0.0000 0.0000
4 Se 0.5000 0.5000 0.5000
5 F 0.0000 0.0000 0.0000

Record 4
Below is crystalline SrGeSe2F at its relaxed geometry, with properties calculated at the GGA-PBE level.

## Properties
size of the total moment: 1.0 μB per formula unit
crystal system: tetragonal
electronic total energy: -18.8 eV/f.u.
formation energy (no corrections): -741 meV/atom

a = 5.4402 Å, b = 5.4402 Å, c = 4.3545 Å
α = 90.00°, β = 90.00°, γ = 90.00°
Fractional coordinates of all 5 atoms:
1 Sr 0.0000 0.0000 0.0000
2 Ge 0.5000 0.5000 0.0000
3 Se 0.0000 0.5000 0.5000
4 Se 0.5000 0.0000 0.5000
5 F 0.0000 0.0000 0.5000